Entry 1:
Compound: SrCr2Re
Source: Alexandria
Functional: PBE
Structure: optimized geometry

a = 3.965 Å, b = 2.930 Å, c = 6.838 Å
α = 77.66°, β = 90.00°, γ = 90.00°
Sites, in units of the cell vectors:
1 Re 0.500 0.250 0.250
2 Cr 0.000 0.565 0.394
3 Cr 0.000 0.935 0.106
4 Sr 0.500 0.750 0.750

Calculated formation energy ... 0.6769 eV/atom
Space group ... P2/m, No. 10
VASP energy ... -0.28177 Ha/atom
Crystal system ... monoclinic

Entry 2:
Compound: RbSr
Source: Alexandria
Functional: PBE
Structure: optimized geometry

a = 16.256 Å, b = 16.256 Å, c = 4.422 Å
α = 90.00°, β = 90.00°, γ = 90.00°
Sites, in units of the cell vectors:
1 Sr 0.949 0.356 0.000
2 Rb 0.627 0.669 0.000
3 Rb 0.873 0.831 0.500
4 Sr 0.051 0.644 0.000
5 Rb 0.373 0.331 0.000
6 Rb 0.831 0.127 0.500
7 Rb 0.669 0.373 0.000
8 Rb 0.331 0.627 0.000
9 Sr 0.449 0.856 0.500
10 Rb 0.169 0.873 0.500
11 Sr 0.644 0.949 0.000
12 Rb 0.127 0.169 0.500
13 Sr 0.144 0.449 0.500
14 Sr 0.551 0.144 0.500
15 Sr 0.856 0.551 0.500
16 Sr 0.356 0.051 0.000

Calculated formation energy ... 0.1228 eV/atom
Space group ... I4/m, No. 87
VASP energy ... -0.04417 Ha/atom
Crystal system ... tetragonal

Entry 3:
Compound: Sc7Bi
Source: Alexandria
Functional: PBE
Structure: optimized geometry

a = 6.509 Å, b = 6.509 Å, c = 6.509 Å
α = 60.00°, β = 60.00°, γ = 60.00°
Site moments in Bohr magnetons follow the coordinates.
Sites, in units of the cell vectors:
1 Sc 0.500 0.500 0.000  0.24
2 Sc 0.000 0.000 0.500  0.24
3 Sc 0.500 0.500 0.500  0.00
4 Bi 0.000 0.000 0.000  -0.02
5 Sc 0.500 0.000 0.500  0.24
6 Sc 0.000 0.500 0.500  0.24
7 Sc 0.500 0.000 0.000  0.24
8 Sc 0.000 0.500 0.000  0.24

Calculated formation energy ... -0.1278 eV/atom
Space group ... Fm-3m, No. 225
VASP energy ... -0.22612 Ha/atom
Crystal system ... cubic

Entry 4:
Compound: BaLi2AlAg
Source: Alexandria
Functional: PBE
Structure: optimized geometry

a = 5.179 Å, b = 5.179 Å, c = 5.064 Å
α = 90.00°, β = 90.00°, γ = 90.00°
Sites, in units of the cell vectors:
1 Li 0.500 0.000 0.000
2 Ag 0.000 0.000 0.500
3 Ba 0.500 0.500 0.500
4 Li 0.000 0.500 0.000
5 Al 0.000 0.000 0.000

Calculated formation energy ... -0.0503 eV/atom
Space group ... P4/mmm, No. 123
VASP energy ... -0.09258 Ha/atom
Crystal system ... tetragonal

Entry 5:
Compound: Zr2CuBr
Source: Alexandria
Functional: PBE
Structure: optimized geometry

a = 5.395 Å, b = 5.395 Å, c = 4.646 Å
α = 90.14°, β = 90.14°, γ = 34.64°
Sites, in units of the cell vectors:
1 Zr 0.017 0.017 0.120
2 Cu 0.277 0.277 0.129
3 Zr 0.737 0.737 0.632
4 Br 0.469 0.469 0.619

Formation energy without anion corrections ... -0.1002 eV/atom
Space group ... Cm, No. 8
VASP energy ... -0.21375 Ha/atom
Crystal system ... monoclinic

Entry 6:
Compound: Li2MgScAu2
Source: Alexandria
Functional: PBE
Structure: optimized geometry

a = 4.471 Å, b = 4.471 Å, c = 6.162 Å
α = 90.00°, β = 90.00°, γ = 120.00°
Sites, in units of the cell vectors:
1 Sc 0.000 0.000 0.000
2 Au 0.333 0.667 0.233
3 Li 0.333 0.667 0.693
4 Li 0.667 0.333 0.307
5 Au 0.667 0.333 0.767
6 Mg 0.000 0.000 0.500

Calculated formation energy ... -0.5028 eV/atom
Space group ... P-3m1, No. 164
VASP energy ... -0.13061 Ha/atom
Crystal system ... trigonal

Entry 7:
Compound: ScAgC3
Source: Alexandria
Functional: PBE
Structure: optimized geometry

a = 4.103 Å, b = 4.103 Å, c = 4.103 Å
α = 90.00°, β = 90.00°, γ = 90.00°
Sites, in units of the cell vectors:
1 C 0.500 0.000 0.000
2 Ag 0.000 0.000 0.000
3 C 0.000 0.500 0.000
4 Sc 0.500 0.500 0.500
5 C 0.000 0.000 0.500

Calculated formation energy ... 2.4766 eV/atom
Space group ... Pm-3m, No. 221
VASP energy ... -0.17986 Ha/atom
Crystal system ... cubic

Entry 8:
Compound: SrLaH2Rh
Source: Alexandria
Functional: PBE
Structure: optimized geometry

a = 4.499 Å, b = 4.988 Å, c = 4.499 Å
α = 90.00°, β = 90.00°, γ = 90.00°
Sites, in units of the cell vectors:
1 Sr 0.500 0.500 0.500
2 H 0.000 0.000 0.500
3 Rh 0.000 0.000 0.000
4 H 0.500 0.000 0.000
5 La 0.000 0.500 0.000

Space group ... P4/mmm, No. 123
VASP energy ... -0.13778 Ha/atom
Crystal system ... tetragonal

Entry 9:
Compound: PrH3Ir
Source: Alexandria
Functional: PBE
Structure: optimized geometry

a = 4.853 Å, b = 5.814 Å, c = 5.814 Å
α = 84.00°, β = 65.33°, γ = 65.33°
Sites, in units of the cell vectors:
1 H 0.500 0.326 0.674
2 H 0.500 0.674 0.326
3 H 0.918 0.845 0.845
4 Ir 0.675 0.325 0.325
5 H 0.609 0.155 0.155
6 H 0.082 0.155 0.155
7 Pr 0.000 0.745 0.255
8 H 0.391 0.845 0.845
9 Pr 0.000 0.255 0.745
10 Ir 0.325 0.675 0.675

Space group ... Immm, No. 71
VASP energy ... -0.18962 Ha/atom
Crystal system ... orthorhombic